one.
# PBE Dy2ScGa, relaxed
data_Dy2ScGa
_chemical_formula_sum 'Dy2 Sc1 Ga1'
_space_group_name_H-M_alt 'P 1'
_space_group_IT_number 1
_cell_length_a 5.179
_cell_length_b 5.179
_cell_length_c 5.182
_cell_angle_alpha 60.02
_cell_angle_beta 60.02
_cell_angle_gamma 60.00
loop_
_space_group_symop_operation_xyz
'x,y,z'
loop_
_atom_site_label
_atom_site_type_symbol
_atom_site_fract_x
_atom_site_fract_y
_atom_site_fract_z
Dy1 Dy 0.000 0.000 0.000
Dy2 Dy 0.250 0.250 0.250
Sc1 Sc 0.500 0.500 0.500
Ga1 Ga 0.750 0.750 0.750
# Space group   No. 216
# Total moment   1.13 μB/f.u.
# DOS at the Fermi energy   5.6 states/eV/f.u.

two.
# PBE Dy2ScGa, relaxed
data_Dy2ScGa
_chemical_formula_sum 'Dy2 Sc1 Ga1'
_space_group_name_H-M_alt 'P 1'
_space_group_IT_number 1
_cell_length_a 4.549
_cell_length_b 4.643
_cell_length_c 4.643
_cell_angle_alpha 90.00
_cell_angle_beta 90.00
_cell_angle_gamma 90.00
loop_
_space_group_symop_operation_xyz
'x,y,z'
loop_
_atom_site_label
_atom_site_type_symbol
_atom_site_fract_x
_atom_site_fract_y
_atom_site_fract_z
Sc1 Sc 0.500 0.500 0.500
Ga1 Ga 0.500 0.000 0.000
Dy1 Dy 0.000 0.000 0.500
Dy2 Dy 0.000 0.500 0.000
# Space group   No. 123
# Total moment   0.55 μB/f.u.
# DOS at the Fermi energy   5.4 states/eV/f.u.

On energetic grounds, two is preferred over the next structure by 181 meV per atom.

one.
# PBE Mg8ZnIn2, relaxed
data_Mg8ZnIn2
_chemical_formula_sum 'Mg8 Zn1 In2'
_space_group_name_H-M_alt 'P 1'
_space_group_IT_number 1
_cell_length_a 5.171
_cell_length_b 7.878
_cell_length_c 7.878
_cell_angle_alpha 118.82
_cell_angle_beta 102.16
_cell_angle_gamma 102.16
loop_
_space_group_symop_operation_xyz
'x,y,z'
loop_
_atom_site_label
_atom_site_type_symbol
_atom_site_fract_x
_atom_site_fract_y
_atom_site_fract_z
Mg1 Mg 0.876 0.902 0.683
Mg2 Mg 0.876 0.683 0.902
Mg3 Mg 0.311 0.618 0.618
Mg4 Mg 0.500 0.795 0.205
Mg5 Mg 0.500 0.205 0.795
Mg6 Mg 0.689 0.382 0.382
Mg7 Mg 0.124 0.317 0.098
Mg8 Mg 0.124 0.098 0.317
Zn1 Zn 0.500 0.000 0.000
In1 In 0.000 0.304 0.696
In2 In 0.000 0.696 0.304
# Space group   No. 12
# Total moment   0.00 μB/f.u.
# DOS at the Fermi energy   3.6 states/eV/f.u.

two.
# PBE Mg8ZnIn2, relaxed
data_Mg8ZnIn2
_chemical_formula_sum 'Mg8 Zn1 In2'
_space_group_name_H-M_alt 'P 1'
_space_group_IT_number 1
_cell_length_a 4.928
_cell_length_b 6.908
_cell_length_c 8.386
_cell_angle_alpha 114.37
_cell_angle_beta 107.09
_cell_angle_gamma 90.00
loop_
_space_group_symop_operation_xyz
'x,y,z'
loop_
_atom_site_label
_atom_site_type_symbol
_atom_site_fract_x
_atom_site_fract_y
_atom_site_fract_z
Mg1 Mg 0.640 0.404 0.280
Mg2 Mg 0.361 0.126 0.722
Mg3 Mg 0.177 0.175 0.354
Mg4 Mg 0.000 0.749 0.999
Mg5 Mg 0.823 0.825 0.646
Mg6 Mg 0.639 0.874 0.278
Mg7 Mg 0.360 0.596 0.720
Mg8 Mg 0.000 0.251 0.001
Zn1 Zn 0.500 0.000 0.000
In1 In 0.182 0.682 0.363
In2 In 0.818 0.318 0.637
# Space group   No. 12
# Total moment   0.00 μB/f.u.
# DOS at the Fermi energy   3.3 states/eV/f.u.

On energetic grounds, two is preferred over the next structure by 56 meV per atom.

one.
# PBE ZrCoOs2, relaxed
data_ZrCoOs2
_chemical_formula_sum 'Zr1 Co1 Os2'
_space_group_name_H-M_alt 'P 1'
_space_group_IT_number 1
_cell_length_a 9.335
_cell_length_b 9.335
_cell_length_c 9.335
_cell_angle_alpha 16.99
_cell_angle_beta 16.99
_cell_angle_gamma 16.99
loop_
_space_group_symop_operation_xyz
'x,y,z'
loop_
_atom_site_label
_atom_site_type_symbol
_atom_site_fract_x
_atom_site_fract_y
_atom_site_fract_z
Co1 Co 0.250 0.250 0.250
Os1 Os 0.990 0.990 0.990
Os2 Os 0.510 0.510 0.510
Zr1 Zr 0.750 0.750 0.750
# Space group   No. 166
# Total moment   1.68 μB/f.u.
# DOS at the Fermi energy   4.5 states/eV/f.u.

two.
# PBE ZrCoOs2, relaxed
data_ZrCoOs2
_chemical_formula_sum 'Zr1 Co1 Os2'
_space_group_name_H-M_alt 'P 1'
_space_group_IT_number 1
_cell_length_a 2.797
_cell_length_b 2.797
_cell_length_c 7.680
_cell_angle_alpha 90.00
_cell_angle_beta 90.00
_cell_angle_gamma 90.00
loop_
_space_group_symop_operation_xyz
'x,y,z'
loop_
_atom_site_label
_atom_site_type_symbol
_atom_site_fract_x
_atom_site_fract_y
_atom_site_fract_z
Co1 Co 0.500 0.500 0.750
Os1 Os 0.000 0.000 0.958
Os2 Os 0.000 0.000 0.542
Zr1 Zr 0.500 0.500 0.250
# Space group   No. 123
# Total moment   0.25 μB/f.u.
# DOS at the Fermi energy   5.7 states/eV/f.u.

On energetic grounds, two is preferred over the next structure by 134 meV per atom.

one.
# PBE LiTa2Cl, relaxed
data_LiTa2Cl
_chemical_formula_sum 'Li1 Ta2 Cl1'
_space_group_name_H-M_alt 'P 1'
_space_group_IT_number 1
_cell_length_a 7.796
_cell_length_b 7.796
_cell_length_c 3.476
_cell_angle_alpha 77.14
_cell_angle_beta 77.14
_cell_angle_gamma 22.12
loop_
_space_group_symop_operation_xyz
'x,y,z'
loop_
_atom_site_label
_atom_site_type_symbol
_atom_site_fract_x
_atom_site_fract_y
_atom_site_fract_z
Cl1 Cl 0.250 0.250 0.250
Li1 Li 0.750 0.750 0.750
Ta1 Ta 0.947 0.947 0.053
Ta2 Ta 0.553 0.553 0.447
# Space group   No. 71
# Total moment   0.00 μB/f.u.
# DOS at the Fermi energy   2.5 states/eV/f.u.

two.
# PBE LiTa2Cl, relaxed
data_LiTa2Cl
_chemical_formula_sum 'Li1 Ta2 Cl1'
_space_group_name_H-M_alt 'P 1'
_space_group_IT_number 1
_cell_length_a 3.087
_cell_length_b 4.335
_cell_length_c 6.084
_cell_angle_alpha 90.00
_cell_angle_beta 90.00
_cell_angle_gamma 90.00
loop_
_space_group_symop_operation_xyz
'x,y,z'
loop_
_atom_site_label
_atom_site_type_symbol
_atom_site_fract_x
_atom_site_fract_y
_atom_site_fract_z
Cl1 Cl 0.500 0.000 0.500
Li1 Li 0.000 0.500 0.500
Ta1 Ta 0.000 0.000 0.000
Ta2 Ta 0.500 0.500 0.000
# Space group   No. 47
# Total moment   0.00 μB/f.u.
# DOS at the Fermi energy   3.2 states/eV/f.u.

On energetic grounds, one is preferred over the next structure by 354 meV per atom.

one.
# PBE Tl2NiRu, relaxed
data_Tl2NiRu
_chemical_formula_sum 'Tl2 Ni1 Ru1'
_space_group_name_H-M_alt 'P 1'
_space_group_IT_number 1
_cell_length_a 5.503
_cell_length_b 5.503
_cell_length_c 5.503
_cell_angle_alpha 138.28
_cell_angle_beta 138.28
_cell_angle_gamma 60.48
loop_
_space_group_symop_operation_xyz
'x,y,z'
loop_
_atom_site_label
_atom_site_type_symbol
_atom_site_fract_x
_atom_site_fract_y
_atom_site_fract_z
Ni1 Ni 0.500 0.500 0.000
Ru1 Ru 0.750 0.250 0.500
Tl1 Tl 0.000 0.000 0.000
Tl2 Tl 0.250 0.750 0.500
# Space group   No. 119
# Total moment   1.11 μB/f.u.
# DOS at the Fermi energy   5.0 states/eV/f.u.

two.
# PBE Tl2NiRu, relaxed
data_Tl2NiRu
_chemical_formula_sum 'Tl2 Ni1 Ru1'
_space_group_name_H-M_alt 'P 1'
_space_group_IT_number 1
_cell_length_a 5.512
_cell_length_b 5.512
_cell_length_c 4.686
_cell_angle_alpha 71.94
_cell_angle_beta 71.94
_cell_angle_gamma 32.94
loop_
_space_group_symop_operation_xyz
'x,y,z'
loop_
_atom_site_label
_atom_site_type_symbol
_atom_site_fract_x
_atom_site_fract_y
_atom_site_fract_z
Ni1 Ni 0.472 0.472 0.465
Ru1 Ru 0.773 0.773 0.789
Tl1 Tl 0.018 0.018 0.936
Tl2 Tl 0.237 0.237 0.310
# Space group   No. 8
# Total moment   0.87 μB/f.u.
# DOS at the Fermi energy   3.7 states/eV/f.u.

On energetic grounds, two is preferred over the next structure by 102 meV per atom.

one.
# PBE La3InRu, relaxed
data_La3InRu
_chemical_formula_sum 'La6 In2 Ru2'
_space_group_name_H-M_alt 'P 1'
_space_group_IT_number 1
_cell_length_a 6.551
_cell_length_b 6.551
_cell_length_c 6.551
_cell_angle_alpha 88.59
_cell_angle_beta 88.59
_cell_angle_gamma 88.59
loop_
_space_group_symop_operation_xyz
'x,y,z'
loop_
_atom_site_label
_atom_site_type_symbol
_atom_site_fract_x
_atom_site_fract_y
_atom_site_fract_z
Ru1 Ru 0.250 0.250 0.250
Ru2 Ru 0.750 0.750 0.750
In1 In 0.000 0.000 0.000
In2 In 0.500 0.500 0.500
La1 La 0.952 0.548 0.250
La2 La 0.548 0.250 0.952
La3 La 0.250 0.952 0.548
La4 La 0.750 0.048 0.452
La5 La 0.452 0.750 0.048
La6 La 0.048 0.452 0.750
# Space group   No. 167
# Total moment   0.00 μB/f.u.
# DOS at the Fermi energy   7.8 states/eV/f.u.

two.
# PBE La3InRu, relaxed
data_La3InRu
_chemical_formula_sum 'La6 In2 Ru2'
_space_group_name_H-M_alt 'P 1'
_space_group_IT_number 1
_cell_length_a 5.418
_cell_length_b 5.418
_cell_length_c 11.382
_cell_angle_alpha 90.00
_cell_angle_beta 90.00
_cell_angle_gamma 120.00
loop_
_space_group_symop_operation_xyz
'x,y,z'
loop_
_atom_site_label
_atom_site_type_symbol
_atom_site_fract_x
_atom_site_fract_y
_atom_site_fract_z
Ru1 Ru 0.000 0.000 0.000
Ru2 Ru 0.000 0.000 0.500
In1 In 0.333 0.667 0.750
In2 In 0.667 0.333 0.250
La1 La 0.000 0.000 0.250
La2 La 0.000 0.000 0.750
La3 La 0.333 0.667 0.068
La4 La 0.333 0.667 0.432
La5 La 0.667 0.333 0.568
La6 La 0.667 0.333 0.932
# Space group   No. 194
# Total moment   0.00 μB/f.u.
# DOS at the Fermi energy   3.9 states/eV/f.u.

On energetic grounds, two is preferred over the next structure by 72 meV per atom.

one.
# PBE Al4Sb3, relaxed
data_Al4Sb3
_chemical_formula_sum 'Al4 Sb3'
_space_group_name_H-M_alt 'P 1'
_space_group_IT_number 1
_cell_length_a 6.348
_cell_length_b 6.348
_cell_length_c 4.946
_cell_angle_alpha 90.00
_cell_angle_beta 90.00
_cell_angle_gamma 120.00
loop_
_space_group_symop_operation_xyz
'x,y,z'
loop_
_atom_site_label
_atom_site_type_symbol
_atom_site_fract_x
_atom_site_fract_y
_atom_site_fract_z
Al1 Al 0.000 0.000 0.247
Al2 Al 0.000 0.000 0.753
Al3 Al 0.667 0.333 0.500
Al4 Al 0.333 0.667 0.500
Sb1 Sb 0.000 0.500 0.000
Sb2 Sb 0.500 0.500 0.000
Sb3 Sb 0.500 0.000 0.000
# Space group   No. 191
# Total moment   0.00 μB/f.u.
# DOS at the Fermi energy   4.5 states/eV/f.u.

two.
# PBE Al4Sb3, relaxed
data_Al4Sb3
_chemical_formula_sum 'Al4 Sb3'
_space_group_name_H-M_alt 'P 1'
_space_group_IT_number 1
_cell_length_a 11.560
_cell_length_b 11.560
_cell_length_c 11.560
_cell_angle_alpha 161.56
_cell_angle_beta 161.56
_cell_angle_gamma 26.19
loop_
_space_group_symop_operation_xyz
'x,y,z'
loop_
_atom_site_label
_atom_site_type_symbol
_atom_site_fract_x
_atom_site_fract_y
_atom_site_fract_z
Al1 Al 0.864 0.864 0.000
Al2 Al 0.136 0.136 0.000
Al3 Al 0.568 0.568 0.000
Al4 Al 0.432 0.432 0.000
Sb1 Sb 0.000 0.000 0.000
Sb2 Sb 0.697 0.697 0.000
Sb3 Sb 0.303 0.303 0.000
# Space group   No. 139
# Total moment   0.00 μB/f.u.
# DOS at the Fermi energy   3.0 states/eV/f.u.

On energetic grounds, two is preferred over the next structure by 211 meV per atom.